[1]
The following is a meta-GGA SCAN calculation of SrTe2AsN at its PBEsol-relaxed geometry, from the Alexandria database.

Calculated values
Its density of states at the Fermi level is 2.5 states/eV per cell. The raw formation energy is -0.05 eV per atom. The calculation puts the calculated volume at 124.9 Å³ per cell.

Cell and atoms, written as CIF:
```
data_SrTe2AsN
_chemical_formula_sum 'Sr1 Te2 As1 N1'
_cell_length_a 5.789
_cell_length_b 5.789
_cell_length_c 3.726
_cell_angle_alpha 90.00
_cell_angle_beta 90.00
_cell_angle_gamma 90.00
_symmetry_space_group_name_H-M 'P 4/m m m'
_symmetry_Int_Tables_number 123
_symmetry_space_group_name_Hall '-P 4 2'
loop_
_atom_site_label
_atom_site_type_symbol
_atom_site_fract_x
_atom_site_fract_y
_atom_site_fract_z
Sr1 Sr 0.000 0.000 0.000
Te1 Te 0.000 0.500 0.500
As1 As 0.500 0.500 0.500
N1 N 0.500 0.500 0.000
```

***

[2]
The following is a meta-GGA SCAN calculation of TcTeAsN2 at its PBEsol-relaxed geometry, from the Alexandria database.

Calculated values
Its density of states at the Fermi level is 2.6 states/eV per cell. The raw formation energy is 1.61 eV per atom. The calculation puts the calculated volume at 87.9 Å³ per cell.

Cell and atoms, written as CIF:
```
data_TcTeAsN2
_chemical_formula_sum 'Tc1 Te1 As1 N2'
_cell_length_a 3.726
_cell_length_b 3.726
_cell_length_c 6.331
_cell_angle_alpha 90.00
_cell_angle_beta 90.00
_cell_angle_gamma 90.00
_symmetry_space_group_name_H-M 'P 4/m m m'
_symmetry_Int_Tables_number 123
_symmetry_space_group_name_Hall '-P 4 2'
loop_
_atom_site_label
_atom_site_type_symbol
_atom_site_fract_x
_atom_site_fract_y
_atom_site_fract_z
Tc1 Tc 0.000 0.000 0.000
Te1 Te 0.500 0.500 0.000
As1 As 0.500 0.500 0.500
N1 N 0.000 0.500 0.500
```